(1)
Density functional theory data (PBE) for a relaxed CaTiTe2 crystal.

a = 5.237 Å, b = 5.237 Å, c = 5.237 Å
α = 60.00°, β = 60.00°, γ = 60.00°
Element x y z (fractional)
Ca (0.000, 0.000, 0.000)
Ti (0.500, 0.500, 0.500)
Te (0.250, 0.250, 0.250)
Te (0.750, 0.750, 0.750)

Theoretical density (g/cm3): 5.61
Space group: Fm-3m, No. 225
Polymorph energy (0 for the lowest one) (kcal/mol of atoms): 0.000

(2)
Density functional theory data (PBE) for a relaxed TlGe2BiTe crystal.

a = 5.579 Å, b = 5.579 Å, c = 6.124 Å
α = 90.00°, β = 90.00°, γ = 90.00°
Element x y z (fractional)
Tl (0.000, 0.000, 0.000)
Ge (0.000, 0.500, 0.500)
Ge (0.500, 0.000, 0.500)
Bi (0.500, 0.500, 0.500)
Te (0.500, 0.500, 0.000)

Theoretical density (g/cm3): 5.98
Space group: P4/mmm, No. 123
Polymorph energy (0 for the lowest one) (kcal/mol of atoms): 0.000

(3)
Density functional theory data (PBE) for a relaxed Na2AlCl5 crystal.

a = 11.297 Å, b = 11.608 Å, c = 8.204 Å
α = 90.00°, β = 90.00°, γ = 90.00°
Element x y z (fractional)
Na (0.000, 0.000, 0.219)
Na (0.000, 0.000, 0.781)
Na (0.132, 0.346, 0.000)
Na (0.368, 0.846, 0.500)
Na (0.500, 0.500, 0.281)
Na (0.500, 0.500, 0.719)
Na (0.632, 0.154, 0.500)
Na (0.868, 0.654, 0.000)
Al (0.248, 0.735, 0.000)
Al (0.252, 0.235, 0.500)
Al (0.748, 0.765, 0.500)
Al (0.752, 0.265, 0.000)
Cl (0.079, 0.154, 0.500)
Cl (0.108, 0.127, 0.000)
Cl (0.117, 0.597, 0.000)
Cl (0.224, 0.842, 0.213)
Cl (0.224, 0.842, 0.787)
Cl (0.276, 0.342, 0.287)
Cl (0.276, 0.342, 0.713)
Cl (0.383, 0.097, 0.500)
Cl (0.392, 0.627, 0.500)
Cl (0.421, 0.654, 0.000)
Cl (0.579, 0.346, 0.000)
Cl (0.608, 0.373, 0.500)
Cl (0.617, 0.903, 0.500)
Cl (0.724, 0.658, 0.287)
Cl (0.724, 0.658, 0.713)
Cl (0.776, 0.158, 0.213)
Cl (0.776, 0.158, 0.787)
Cl (0.883, 0.403, 0.000)
Cl (0.892, 0.873, 0.000)
Cl (0.921, 0.846, 0.500)

Theoretical density (g/cm3): 1.54
Space group: Pnnm, No. 58
Polymorph energy (0 for the lowest one) (kcal/mol of atoms): 0.000

(4)
Density functional theory data (PBE) for a relaxed LiRh3Se crystal.

a = 4.205 Å, b = 4.205 Å, c = 4.205 Å
α = 90.00°, β = 90.00°, γ = 90.00°
Element x y z (fractional)
Li (0.000, 0.000, 0.000)
Rh (0.000, 0.000, 0.500)
Rh (0.000, 0.500, 0.000)
Rh (0.500, 0.000, 0.000)
Se (0.500, 0.500, 0.500)

Theoretical density (g/cm3): 8.81
Space group: Pm-3m, No. 221
Final energy (eV/atom): -4.762

(5)
Density functional theory data (PBE) for a relaxed PrDy3Er2 crystal.

a = 7.792 Å, b = 7.792 Å, c = 6.520 Å
α = 90.22°, β = 90.22°, γ = 100.28°
Element x y z (fractional)
Pr (0.003, 0.997, 0.750)
Pr (0.997, 0.003, 0.250)
Dy (0.279, 0.721, 0.250)
Dy (0.324, 0.324, 0.003)
Dy (0.324, 0.324, 0.503)
Dy (0.676, 0.676, 0.497)
Dy (0.676, 0.676, 0.997)
Dy (0.721, 0.279, 0.750)
Er (0.072, 0.582, 0.751)
Er (0.418, 0.928, 0.749)
Er (0.582, 0.072, 0.251)
Er (0.928, 0.418, 0.249)

Theoretical density (g/cm3): 8.21
Space group: C2/c, No. 15
Energy relative to the elements (eV/f.u.): 1.23
Polymorph energy (0 for the lowest one) (kcal/mol of atoms): 4.786

(6)
Density functional theory data (PBE) for a relaxed Mn2BeP crystal.

a = 2.823 Å, b = 2.823 Å, c = 4.988 Å
α = 90.00°, β = 90.00°, γ = 90.00°
Element x y z (fractional)
Mn (0.000, 0.000, 0.000)
Mn (0.500, 0.500, 0.303)
Be (0.500, 0.500, 0.786)
P (0.000, 0.000, 0.541)

Theoretical density (g/cm3): 6.26
Space group: P4mm, No. 99
Energy relative to the elements (eV/f.u.): -1.03
Polymorph energy (0 for the lowest one) (kcal/mol of atoms): 1.552

(7)
Density functional theory data (PBE) for a relaxed CsNaBi crystal.

a = 6.307 Å, b = 6.307 Å, c = 9.893 Å
α = 117.23°, β = 117.23°, γ = 55.88°
Element x y z (fractional)
Cs (0.231, 0.231, 0.151)
Cs (0.769, 0.769, 0.849)
Na (0.338, 0.338, 0.599)
Na (0.662, 0.662, 0.401)
Bi (0.002, 0.002, 0.660)
Bi (0.998, 0.998, 0.340)

Theoretical density (g/cm3): 4.35
Space group: C2/m, No. 12
Energy relative to the elements (eV/f.u.): -0.96
Polymorph energy (0 for the lowest one) (kcal/mol of atoms): 0.361

(8)
Density functional theory data (PBE) for a relaxed Ca2V2Bi crystal.

a = 7.089 Å, b = 7.089 Å, c = 7.089 Å
α = 141.86°, β = 141.86°, γ = 55.05°
Element x y z (fractional)
Ca (0.250, 0.750, 0.500)
Ca (0.750, 0.250, 0.500)
V (0.071, 0.071, 0.000)
V (0.929, 0.929, 0.000)
Bi (0.500, 0.500, 0.000)

Theoretical density (g/cm3): 4.81
Space group: I4/mmm, No. 139
Energy relative to the elements (eV/f.u.): 3.08
Polymorph energy (0 for the lowest one) (kcal/mol of atoms): 7.210

(9)
Density functional theory data (PBE) for a relaxed La2CeN2 crystal.

a = 6.395 Å, b = 6.395 Å, c = 6.395 Å
α = 147.56°, β = 130.46°, γ = 60.47°
Element x y z (fractional)
La (0.178, 0.178, 0.000)
La (0.822, 0.822, 0.000)
Ce (0.500, 0.500, 0.000)
N (0.344, 0.844, 0.500)
N (0.656, 0.156, 0.500)

Theoretical density (g/cm3): 7.00
Space group: Immm, No. 71
Final energy (eV/atom): -7.541

Number 1: V 102 Å³/cell, total magnetic moment 2.0 μB per formula unit, DOS(E_F) 0.2 states/eV per cell. Number 2: V 191 Å³/cell, total magnetic moment 0.0 μB per formula unit, DOS(E_F) 4.5 states/eV per cell. Number 3: V 1076 Å³/cell, total magnetic moment 0.1 μB per formula unit, DOS(E_F) 0.0 states/eV per cell. Number 4: V 74 Å³/cell, total magnetic moment 0.0 μB per formula unit, DOS(E_F) 6.6 states/eV per cell. Number 5: V 389 Å³/cell, total magnetic moment 0.0 μB per formula unit, DOS(E_F) 20.1 states/eV per cell. Number 6: V 40 Å³/cell, total magnetic moment 0.0 μB per formula unit, DOS(E_F) 2.3 states/eV per cell. Number 7: V 279 Å³/cell, total magnetic moment 0.0 μB per formula unit, DOS(E_F) 1.9 states/eV per cell. Number 8: V 135 Å³/cell, total magnetic moment 0.0 μB per formula unit, DOS(E_F) 4.1 states/eV per cell. Number 9: V 106 Å³/cell, total magnetic moment 0.5 μB per formula unit, DOS(E_F) 6.3 states/eV per cell.